Dy8Er2Tm, relaxed, DFT PBE; total magnetic moment = 0.00 μB/f.u.; DFT total energy = -4.563 eV/atom; N(E_F) = 15.72 states/eV/f.u.; space group = No. 2; DFT formation energy = 0.02 eV/atom
1.0
6.092 0.000 0.000
1.029 6.013 0.000
1.027 -0.162 9.271
Dy Er Tm
8 2 1
direct
0.046 0.409 0.318
0.136 0.227 0.955
0.228 0.045 0.591
0.409 0.682 0.863
0.591 0.318 0.137
0.772 0.955 0.409
0.864 0.773 0.045
0.954 0.591 0.682
0.318 0.863 0.228
0.682 0.137 0.772
0.500 0.500 0.500

=====

Dy5Er7Tm, relaxed, DFT PBE; total magnetic moment = 0.04 μB/f.u.; DFT total energy = -4.304 eV/atom; N(E_F) = 24.78 states/eV/f.u.; space group = No. 44; DFT formation energy = 0.27 eV/atom
1.0
-3.305 5.511 5.700
3.305 -5.511 5.700
3.305 5.511 -5.700
Dy Er Tm
5 7 1
direct
0.000 0.000 0.000
0.227 0.270 0.495
0.227 0.732 0.957
0.775 0.270 0.043
0.775 0.732 0.505
0.081 0.251 0.830
0.421 0.251 0.170
0.500 0.000 0.500
0.500 0.500 0.000
0.580 0.750 0.830
0.807 0.307 0.500
0.920 0.750 0.170
0.193 0.693 0.500

=====

DyEr7Tm3, relaxed, DFT PBE; total magnetic moment = 0.36 μB/f.u.; DFT total energy = -4.259 eV/atom; N(E_F) = 15.49 states/eV/f.u.; space group = No. 12; DFT formation energy = 0.28 eV/atom
1.0
6.197 -5.510 0.000
6.197 5.510 0.000
-2.609 0.000 5.061
Dy Er Tm
1 7 3
direct
0.000 0.000 0.000
0.000 0.000 0.500
0.100 0.499 0.800
0.293 0.293 0.294
0.499 0.100 0.800
0.501 0.900 0.200
0.707 0.707 0.706
0.900 0.501 0.200
0.294 0.706 0.500
0.500 0.500 0.000
0.706 0.294 0.500

=====

Dy3Y6ErTm2, relaxed, DFT PBE; total magnetic moment = 0.00 μB/f.u.; DFT total energy = -5.483 eV/atom; N(E_F) = 17.71 states/eV/f.u.; space group = No. 12; DFT formation energy = 0.02 eV/atom
1.0
3.071 -5.312 0.000
3.071 5.312 0.000
-2.038 0.000 11.575
Dy Y Er Tm
3 6 1 2
direct
0.000 0.000 0.000
0.333 0.667 0.000
0.667 0.333 0.000
0.084 0.417 0.251
0.249 0.249 0.749
0.417 0.084 0.251
0.583 0.916 0.749
0.751 0.751 0.251
0.916 0.583 0.749
0.500 0.500 0.500
0.167 0.833 0.500
0.833 0.167 0.500

=====

DyY2Er3Tm6, relaxed, DFT PBE; total magnetic moment = 0.00 μB/f.u.; DFT total energy = -4.811 eV/atom; N(E_F) = 17.36 states/eV/f.u.; space group = No. 12; DFT formation energy = 0.03 eV/atom
1.0
3.042 -5.261 0.000
3.042 5.261 0.000
-2.023 0.000 11.460
Dy Y Er Tm
1 2 3 6
direct
0.000 0.000 0.000
0.333 0.667 0.000
0.667 0.333 0.000
0.167 0.833 0.500
0.500 0.500 0.500
0.833 0.167 0.500
0.084 0.417 0.252
0.249 0.249 0.748
0.417 0.084 0.252
0.583 0.916 0.748
0.751 0.751 0.252
0.916 0.583 0.748

=====

Dy5YErTm2, relaxed, DFT PBE; total magnetic moment = 0.00 μB/f.u.; DFT total energy = -4.611 eV/atom; N(E_F) = 15.23 states/eV/f.u.; space group = No. 36; DFT formation energy = 0.16 eV/atom
1.0
2.781 -9.902 0.000
2.781 9.902 0.000
0.000 0.000 10.494
Dy Y Er Tm
10 2 2 4
direct
0.017 0.983 0.500
0.280 0.720 0.788
0.300 0.700 0.186
0.388 0.612 0.501
0.479 0.521 0.217
0.521 0.479 0.717
0.612 0.388 0.001
0.700 0.300 0.686
0.720 0.280 0.288
0.983 0.017 0.000
0.412 0.588 0.933
0.588 0.412 0.433
0.199 0.801 0.489
0.801 0.199 0.989
0.110 0.890 0.215
0.113 0.887 0.793
0.887 0.113 0.293
0.890 0.110 0.715

=====

Dy6YEr2Tm3, relaxed, DFT PBE; total magnetic moment = 0.00 μB/f.u.; DFT total energy = -4.697 eV/atom; N(E_F) = 16.55 states/eV/f.u.; space group = No. 12; DFT formation energy = 0.02 eV/atom
1.0
3.055 -5.285 0.000
3.055 5.285 0.000
-2.028 0.000 11.492
Dy Y Er Tm
6 1 2 3
direct
0.082 0.416 0.249
0.250 0.250 0.751
0.416 0.082 0.249
0.584 0.918 0.751
0.750 0.750 0.249
0.918 0.584 0.751
0.500 0.500 0.500
0.167 0.833 0.500
0.833 0.167 0.500
0.000 0.000 0.000
0.333 0.667 0.000
0.667 0.333 0.000

=====

Dy3Y6Er2Tm, relaxed, DFT PBE; total magnetic moment = 0.00 μB/f.u.; DFT total energy = -5.491 eV/atom; N(E_F) = 17.63 states/eV/f.u.; space group = No. 12; DFT formation energy = 0.02 eV/atom
1.0
3.073 -5.315 0.000
3.073 5.315 0.000
-2.039 0.000 11.579
Dy Y Er Tm
3 6 2 1
direct
0.000 0.000 0.000
0.333 0.667 0.000
0.667 0.333 0.000
0.084 0.417 0.251
0.250 0.250 0.749
0.417 0.084 0.251
0.583 0.916 0.749
0.750 0.750 0.251
0.916 0.583 0.749
0.167 0.833 0.500
0.833 0.167 0.500
0.500 0.500 0.500

=====

Q: Which of these has the highest total magnetic moment?
A: DyEr7Tm3